Density functional theory data (PBE-GGA) for crystalline Ta2GaH at its relaxed geometry.

Cell: 5.361 5.361 5.965 Å, 63.30 63.30 90.00°
Atoms (fractional coordinates):
Ga (0.000, 0.000, 0.000)
Ga (0.750, 0.250, 0.500)
Ta (0.375, 0.625, 0.750)
Ta (0.875, 0.625, 0.750)
Ta (0.375, 0.125, 0.250)
Ta (0.375, 0.625, 0.250)
H (0.250, 0.750, 0.500)
H (0.500, 0.500, 0.000)

Results
The symmetry is I4_1/amd (141). The total energy is -6.989 eV per atom. For the total magnetization, the calculation gives 0.0 Bohr magnetons per cell. The volume comes out at 132.36 Å³/cell.


Density functional theory data (PBE-GGA) for crystalline Ta3GaH3 at its relaxed geometry.

Cell: 5.614 5.614 6.879 Å, 65.92 65.92 60.00°
Atoms (fractional coordinates):
H (0.226, 0.867, 0.393)
H (0.514, 0.226, 0.393)
H (0.774, 0.133, 0.607)
H (0.133, 0.486, 0.607)
H (0.486, 0.774, 0.607)
H (0.867, 0.514, 0.393)
Ga (0.666, 0.666, 0.001)
Ga (0.334, 0.334, 0.999)
Ta (0.209, 0.596, 0.292)
Ta (0.404, 0.097, 0.708)
Ta (0.791, 0.404, 0.708)
Ta (0.903, 0.209, 0.292)
Ta (0.097, 0.791, 0.708)
Ta (0.596, 0.903, 0.292)

Results
The symmetry is R-3 (148). The total energy is -6.845 eV per atom. For the total magnetization, the calculation gives 0.0 Bohr magnetons per cell. The volume comes out at 165.60 Å³/cell.


Density functional theory data (PBE-GGA) for crystalline Ta2GaH at its relaxed geometry.

Cell: 2.872 4.838 4.838 Å, 62.30 72.95 72.95°
Atoms (fractional coordinates):
Ga (0.750, 0.750, 0.750)
Ta (0.934, 0.067, 0.067)
Ta (0.566, 0.434, 0.433)
H (0.250, 0.250, 0.250)

Results
The symmetry is C2/m (12). The total energy is -7.555 eV per atom. For the total magnetization, the calculation gives 0.0 Bohr magnetons per cell. The volume comes out at 55.91 Å³/cell.


Density functional theory data (PBE-GGA) for crystalline TaGaH2 at its relaxed geometry.

Cell: 3.820 3.820 6.511 Å, 72.94 72.94 90.00°
Atoms (fractional coordinates):
Ga (0.500, 0.500, 0.000)
Ga (0.250, 0.750, 0.500)
H (0.716, 0.125, 0.250)
H (0.375, 0.284, 0.750)
H (0.875, 0.966, 0.750)
H (0.034, 0.625, 0.250)
Ta (0.750, 0.250, 0.500)
Ta (0.000, 0.000, 0.000)

Results
The symmetry is I-42d (122). The total energy is -5.285 eV per atom. For the total magnetization, the calculation gives 0.0 Bohr magnetons per cell. The volume comes out at 86.43 Å³/cell.


Density functional theory data (PBE-GGA) for crystalline Ta4Ga2H at its relaxed geometry.

Cell: 2.966 7.555 9.710 Å, 90.00 90.00 90.00°
Atoms (fractional coordinates):
Ta (0.500, 0.302, 0.912)
Ta (0.000, 0.368, 0.184)
Ta (0.000, 0.632, 0.816)
Ta (0.500, 0.698, 0.088)
Ta (0.000, 0.132, 0.684)
Ta (0.000, 0.868, 0.316)
Ta (0.500, 0.198, 0.412)
Ta (0.500, 0.802, 0.588)
H (0.000, 0.500, 0.000)
H (0.000, 0.000, 0.500)
Ga (0.500, 0.563, 0.373)
Ga (0.500, 0.063, 0.127)
Ga (0.500, 0.437, 0.627)
Ga (0.500, 0.937, 0.873)

Results
The symmetry is Pbam (55). The total energy is -8.161 eV per atom. For the total magnetization, the calculation gives 0.0 Bohr magnetons per cell. The volume comes out at 217.56 Å³/cell.


Density functional theory data (PBE-GGA) for crystalline TaGaH2 at its relaxed geometry.

Cell: 2.932 2.932 6.675 Å, 77.31 77.31 60.00°
Atoms (fractional coordinates):
H (0.885, 0.885, 0.344)
H (0.115, 0.115, 0.656)
Ga (0.000, 0.000, 0.000)
Ta (0.500, 0.500, 0.500)

Results
The symmetry is R-3m (166). The total energy is -5.273 eV per atom. For the total magnetization, the calculation gives 0.0 Bohr magnetons per cell. The volume comes out at 48.07 Å³/cell.


Density functional theory data (PBE-GGA) for crystalline TaGa2H at its relaxed geometry.

Cell: 3.385 3.017 7.012 Å, 71.22 76.03 55.88°
Atoms (fractional coordinates):
Ga (0.692, 0.436, 0.179)
Ga (0.898, 0.698, 0.507)
Ta (0.122, 0.895, 0.860)
H (0.498, 0.233, 0.771)

Results
The symmetry is Cm (8). The total energy is -5.369 eV per atom. For the total magnetization, the calculation gives 0.0 Bohr magnetons per cell. The volume comes out at 55.97 Å³/cell.


Density functional theory data (PBE-GGA) for crystalline TaGa2H at its relaxed geometry.

Cell: 6.408 6.408 5.240 Å, 52.31 52.31 90.00°
Atoms (fractional coordinates):
Ta (0.000, 0.000, 0.000)
Ta (0.750, 0.250, 0.500)
Ga (0.375, 0.458, 0.750)
Ga (0.875, 0.792, 0.750)
Ga (0.542, 0.125, 0.250)
Ga (0.208, 0.625, 0.250)
H (0.500, 0.500, 0.000)
H (0.250, 0.750, 0.500)

Results
The symmetry is I-42d (122). The total energy is -5.087 eV per atom. For the total magnetization, the calculation gives 0.0 Bohr magnetons per cell. The volume comes out at 108.08 Å³/cell.